Entry 1:
DFT (PBE-GGA) results for a relaxed structure of Pm2PaGa9.

The space group is P4/mmm (No. 123) and the conventional cell measures 4.333, 4.333 and 13.002 Å, with angles of 90.00, 90.00 and 90.00 degrees. The distinct sites, in fractional coordinates, are Pm at (0.000, 0.000, 0.168), Pa at (0.000, 0.000, 0.500), Ga at (0.000, 0.500, 0.000), Ga at (0.000, 0.500, 0.336), Ga at (0.500, 0.500, 0.167) and Ga at (0.500, 0.500, 0.500).

Its calculated formation energy is -0.4862 eV per atom. As for the total moment: 0.000 μB/atom. The total DFT energy (no corrections) comes out at -4.34 eV per atom.

Entry 2:
DFT (PBE-GGA) results for a relaxed structure of Li3VHg.

The space group is Pm-3m (No. 221) and the conventional cell measures 4.866, 4.866 and 4.866 Å, with angles of 90.00, 90.00 and 90.00 degrees. The distinct sites, in fractional coordinates, are Li at (0.000, 0.000, 0.500), V at (0.500, 0.500, 0.500) and Hg at (0.000, 0.000, 0.000).

Its calculated formation energy is 0.5956 eV per atom. As for the total moment: 0.791 μB/atom. The total DFT energy (no corrections) comes out at -2.44 eV per atom.

Entry 3:
DFT (PBE-GGA) results for a relaxed structure of SbAs3H.

The space group is Pm-3m (No. 221) and the conventional cell measures 4.438, 4.438 and 4.438 Å, with angles of 90.00, 90.00 and 90.00 degrees. The distinct sites, in fractional coordinates, are Sb at (0.000, 0.000, 0.000), As at (0.000, 0.500, 0.500) and H at (0.500, 0.500, 0.500).

As for the total moment: 0.000 μB/atom. The total DFT energy (no corrections) comes out at -3.68 eV per atom. For the relative energy among the computed polymorphs, the calculation gives 0.000 eV per atom.